[1]
! PBE CaGePb, optimized geometry; values from VASP
! ΔH_f (0 K)   -99 kJ/mol of formula units
! SG   C2/m, No. 12
&SYSTEM
  ibrav = 0, nat = 12, ntyp = 3
/
ATOMIC_SPECIES
Pb 207.20 Pb.upf
Ca 40.08 Ca.upf
Ge 72.64 Ge.upf
CELL_PARAMETERS angstrom
-6.8337 3.1785 -0.9553
-1.7858 -3.0043 2.7790
8.4996 2.9739 8.6769
ATOMIC_POSITIONS angstrom
Pb 2.1190 0.9530 5.9791
Pb 2.9037 5.1842 7.4705
Pb -1.2379 0.9681 0.2512
Pb -2.2389 2.1952 4.5215
Ca 4.8667 2.7953 6.1493
Ca -3.2008 3.3570 1.5723
Ca -0.2760 -0.1937 3.2004
Ca 0.1561 3.3419 7.3003
Ge -5.1119 0.9534 1.3328
Ge 4.9920 2.1947 9.1678
Ge 0.0307 3.9424 4.2818
Ge 1.6351 2.2099 3.4398

[2]
! PBE CaGePb, optimized geometry; values from VASP
! ΔH_f (0 K)   -101 kJ/mol of formula units
! SG   P2_1/m, No. 11
&SYSTEM
  ibrav = 0, nat = 6, ntyp = 3
/
ATOMIC_SPECIES
Ge 72.64 Ge.upf
Ca 40.08 Ca.upf
Pb 207.20 Pb.upf
CELL_PARAMETERS angstrom
-0.3562 1.5726 5.2886
-0.1888 -3.7427 1.1002
7.7451 -0.2411 0.5088
ATOMIC_POSITIONS angstrom
Ge 7.3203 -0.1547 4.1960
Ge -0.1202 -2.2565 2.7016
Ca 1.3818 -1.4736 5.6224
Ca 5.8183 -0.9375 1.2752
Pb 4.6737 -1.9897 4.4317
Pb 2.5264 -0.4214 2.4659

[3]
! PBE Ca2GePb, optimized geometry; values from VASP
! ΔH_f (0 K)   -212 kJ/mol of formula units
! SG   P2_1/m, No. 11
&SYSTEM
  ibrav = 0, nat = 8, ntyp = 3
/
ATOMIC_SPECIES
Ge 72.64 Ge.upf
Pb 207.20 Pb.upf
Ca 40.08 Ca.upf
CELL_PARAMETERS angstrom
-3.1434 0.2391 -2.8983
-3.6065 -3.5398 3.6194
-0.8815 9.2292 1.7175
ATOMIC_POSITIONS angstrom
Ge -5.0051 0.5353 0.7271
Ge -2.6262 5.3932 1.7115
Pb -5.5065 5.1201 1.6492
Pb -2.1248 0.8084 0.7894
Ca -3.5462 3.4895 -0.6114
Ca -4.0367 7.8013 0.2763
Ca -3.5947 -1.8729 2.1623
Ca -4.0852 2.4390 3.0500

[4]
! PBE Ca2GePb, optimized geometry; values from VASP
! ΔH_f (0 K)   -187 kJ/mol of formula units
! SG   P4/mmm, No. 123
&SYSTEM
  ibrav = 0, nat = 4, ntyp = 3
/
ATOMIC_SPECIES
Ca 40.08 Ca.upf
Pb 207.20 Pb.upf
Ge 72.64 Ge.upf
CELL_PARAMETERS angstrom
-1.7007 0.2740 -4.1655
-1.4174 -4.6477 0.2730
-4.2783 1.4128 1.8397
ATOMIC_POSITIONS angstrom
Ca -2.1391 0.7064 0.9198
Ca -0.7087 -2.3238 0.1365
Pb -3.6982 -1.4804 -1.0264
Ge -0.8503 0.1370 -2.0827

[5]
! PBE Ca2GePb, optimized geometry; values from VASP
! ΔH_f (0 K)   -74 kJ/mol of formula units
! SG   I-42d, No. 122
&SYSTEM
  ibrav = 0, nat = 8, ntyp = 3
/
ATOMIC_SPECIES
Ca 40.08 Ca.upf
Pb 207.20 Pb.upf
Ge 72.64 Ge.upf
CELL_PARAMETERS angstrom
-8.3391 0.6729 0.9282
0.1646 -6.0419 5.8585
-3.6322 -0.3493 5.7889
ATOMIC_POSITIONS angstrom
Ca -2.0825 -3.7605 5.2510
Ca -9.8815 -4.7897 10.1150
Ca -5.8645 -0.4410 2.7335
Ca -5.7850 -2.4456 7.0517
Pb -8.0293 -1.1805 5.0552
Pb 0.0000 0.0000 0.0000
Ge -3.7774 -4.5379 7.5204
Ge -4.0873 -2.6845 3.3934

[6]
! PBE CaGe2Pb, optimized geometry; values from VASP
! ΔH_f (0 K)   -18 kJ/mol of formula units
! SG   I-42d, No. 122
&SYSTEM
  ibrav = 0, nat = 8, ntyp = 3
/
ATOMIC_SPECIES
Ge 72.64 Ge.upf
Pb 207.20 Pb.upf
Ca 40.08 Ca.upf
CELL_PARAMETERS angstrom
-3.4749 6.4914 3.2482
-2.7766 -4.5161 6.0548
-0.4200 1.5903 6.3418
ATOMIC_POSITIONS angstrom
Ge -2.1871 -1.7773 5.6938
Ge -2.7116 4.0540 4.4544
Ge -5.8551 2.8072 13.0492
Ge -2.5893 2.0474 8.0922
Pb -3.5104 4.5347 7.1207
Pb 0.0000 0.0000 0.0000
Ca -3.1258 0.9877 4.6515
Ca -3.1612 -0.9690 8.5240

[7]
! PBE Ca4Ge3Pd12Pb, optimized geometry; values from VASP
! ΔH_f (0 K)   -575 kJ/mol of formula units
! SG   Im-3m, No. 229
&SYSTEM
  ibrav = 0, nat = 20, ntyp = 4
/
ATOMIC_SPECIES
Pd 106.42 Pd.upf
Ge 72.64 Ge.upf
Ca 40.08 Ca.upf
Pb 207.20 Pb.upf
CELL_PARAMETERS angstrom
-0.9702 5.2212 6.4328
-6.3246 -5.4370 -0.1466
7.1991 -4.1307 0.8329
ATOMIC_POSITIONS angstrom
Pd 1.9944 -4.5112 2.1596
Pd 1.2907 0.4913 5.2044
Pd 0.2305 -2.5218 0.1809
Pd -2.0902 0.1647 4.9595
Pd 4.5871 0.8031 5.3506
Pd -3.4288 -2.4998 3.3147
Pd -1.3865 -4.8378 1.9147
Pd -1.9227 -0.0569 1.6569
Pd 0.6440 -7.0459 0.5054
Pd -5.3721 -0.1589 4.6293
Pd 1.6418 0.2874 1.9150
Pd 3.3330 -1.8467 3.8044
Ge 3.1144 0.5453 3.6328
Ge 0.4372 -4.7839 0.3432
Ge -3.6474 -0.1079 3.1431
Ca -0.0479 -2.1733 3.5596
Ca -0.4851 2.6106 3.2164
Ca 3.5995 -2.0654 0.4164
Ca -3.1623 -2.7185 -0.0733
Pb 0.0000 0.0000 0.0000

[8]
! PBE Ca2Ge2Rh5Pb, optimized geometry; values from VASP
! ΔH_f (0 K)   -582 kJ/mol of formula units
! SG   P4/mbm, No. 127
&SYSTEM
  ibrav = 0, nat = 20, ntyp = 4
/
ATOMIC_SPECIES
Rh 102.91 Rh.upf
Ge 72.64 Ge.upf
Pb 207.20 Pb.upf
Ca 40.08 Ca.upf
CELL_PARAMETERS angstrom
3.5705 0.0000 0.0000
0.0000 9.9969 0.0000
0.0000 0.0000 9.9969
ATOMIC_POSITIONS angstrom
Rh 1.7852 5.6951 7.1365
Rh 1.7852 0.6967 7.8588
Rh 1.7852 4.9984 0.0000
Rh 1.7852 9.3002 2.1381
Rh 1.7852 7.1365 4.3017
Rh 1.7852 2.8604 5.6951
Rh 1.7852 0.0000 4.9984
Rh 1.7852 2.1381 0.6967
Rh 1.7852 4.3017 2.8604
Rh 1.7852 7.8588 9.3002
Ge 0.0000 8.7640 3.7655
Ge 0.0000 3.7655 1.2329
Ge 0.0000 1.2329 6.2313
Ge 0.0000 6.2313 8.7640
Pb 0.0000 4.9984 4.9984
Pb 0.0000 0.0000 0.0000
Ca 0.0000 6.7398 1.7414
Ca 0.0000 1.7414 3.2570
Ca 0.0000 8.2555 6.7398
Ca 0.0000 3.2570 8.2555

[9]
! PBE CaGePbS4, optimized geometry; values from VASP
! ΔE_f (raw)   -872 meV/atom
! SG   P2_1/m, No. 11
&SYSTEM
  ibrav = 0, nat = 14, ntyp = 4
/
ATOMIC_SPECIES
S 32.06 S.upf
Ca 40.08 Ca.upf
Ge 72.64 Ge.upf
Pb 207.20 Pb.upf
CELL_PARAMETERS angstrom
-0.3126 5.7980 -3.4048
-3.5175 2.7324 4.9758
6.5932 0.2509 4.5231
ATOMIC_POSITIONS angstrom
S 4.7020 4.2393 3.2368
S 1.0954 8.6505 4.9504
S -0.0624 1.4746 3.5910
S 1.6472 4.1339 1.1351
S -1.9389 4.5420 2.8573
S 1.1159 4.6474 4.9590
S 2.8254 7.3066 2.5031
S 1.6677 0.1307 1.1437
Ca 0.0205 6.5692 3.1293
Ca 2.7425 2.2121 2.9648
Ge 3.4281 5.2753 1.7673
Ge -0.6650 3.5059 4.3268
Pb -0.5182 2.0809 0.7317
Pb 3.2813 6.7004 5.3624

[10]
! PBE CaScGePb2, optimized geometry; values from VASP
! ΔH_f (0 K)   467 kJ/mol of formula units
! SG   P4/mmm, No. 123
&SYSTEM
  ibrav = 0, nat = 5, ntyp = 4
/
ATOMIC_SPECIES
Sc 44.96 Sc.upf
Pb 207.20 Pb.upf
Ge 72.64 Ge.upf
Ca 40.08 Ca.upf
CELL_PARAMETERS angstrom
-0.8308 2.4099 5.1101
3.5826 -3.3101 2.1435
4.1443 3.7704 -1.1043
ATOMIC_POSITIONS angstrom
Sc 1.7913 -1.6551 1.0718
Pb -0.4154 1.2049 2.5550
Pb 2.0722 1.8852 -0.5521
Ge 3.4480 1.4351 3.0747
Ca 0.0000 0.0000 0.0000

[11]
! PBE Ca2GePbSe, optimized geometry; values from VASP
! ΔE_f (raw)   318 meV/atom
! SG   P4/mmm, No. 123
&SYSTEM
  ibrav = 0, nat = 5, ntyp = 4
/
ATOMIC_SPECIES
Ge 72.64 Ge.upf
Ca 40.08 Ca.upf
Se 78.96 Se.upf
Pb 207.20 Pb.upf
CELL_PARAMETERS angstrom
6.0541 0.0000 0.0000
0.0000 5.3624 0.0000
0.0000 0.0000 6.0541
ATOMIC_POSITIONS angstrom
Ge 3.0271 2.6812 3.0271
Ca 0.0000 0.0000 3.0271
Ca 3.0271 0.0000 0.0000
Se 0.0000 2.6812 0.0000
Pb 0.0000 0.0000 0.0000

[12]
! PBE CaGePbSe2, optimized geometry; values from VASP
! ΔE_f (raw)   466 meV/atom
! SG   P4/mmm, No. 123
&SYSTEM
  ibrav = 0, nat = 5, ntyp = 4
/
ATOMIC_SPECIES
Se 78.96 Se.upf
Ca 40.08 Ca.upf
Pb 207.20 Pb.upf
Ge 72.64 Ge.upf
CELL_PARAMETERS angstrom
5.5344 0.0000 0.0000
0.0000 5.8227 0.0000
0.0000 0.0000 5.5344
ATOMIC_POSITIONS angstrom
Se 0.0000 0.0000 2.7672
Se 2.7672 0.0000 0.0000
Ca 0.0000 2.9113 0.0000
Pb 0.0000 0.0000 0.0000
Ge 2.7672 2.9113 2.7672

What are the size of the total moment values for these records? In order: 0.0; 0.0; 0.0; 0.0; 0.0; 0.0; 0.0; 0.0; 0.0; 0.6; 2.2; 0.7 μB per formula unit.
What are the total energy values for these records? In order: -3.784; -3.793; -3.631; -3.567; -3.274; -3.782; -4.692; -5.973; -4.706; -3.106; -2.845; -2.993 eV per atom.